1.
# BTe

A relaxed BTe crystal (PBE, Alexandria).

Summary:
Calculated volume   26.14 Å³ per atom
Formation energy from raw total energies   0.935 eV per atom
Energy   -3.975 eV/atom
ΔE to the lowest computed polymorph   80 meV/atom

a b c (Å): 10.407 10.407 3.862
angles (deg): 90.00 90.00 90.00
Fractional coordinates of all 16 atoms:
B 0.793 0.649 0.500
B 0.207 0.351 0.500
B 0.351 0.793 0.500
B 0.649 0.207 0.500
B 0.866 0.440 0.000
B 0.134 0.560 0.000
B 0.560 0.866 0.000
B 0.440 0.134 0.000
Te 0.739 0.422 0.500
Te 0.261 0.578 0.500
Te 0.578 0.739 0.500
Te 0.422 0.261 0.500
Te 0.923 0.656 0.000
Te 0.077 0.344 0.000
Te 0.344 0.923 0.000
Te 0.656 0.077 0.000

***

2.
# BTe

A relaxed BTe crystal (PBE, Alexandria).

Summary:
Calculated volume   19.34 Å³ per atom
Formation energy from raw total energies   0.893 eV per atom
Energy   -4.016 eV/atom
ΔE to the lowest computed polymorph   38 meV/atom

a b c (Å): 4.088 4.088 5.346
angles (deg): 90.00 90.00 120.00
Fractional coordinates of all 4 atoms:
B 0.333 0.667 0.325
B 0.667 0.333 0.825
Te 0.333 0.667 0.757
Te 0.667 0.333 0.257

***

3.
# BTe

A relaxed BTe crystal (PBE, Alexandria).

Summary:
Calculated volume   16.62 Å³ per atom
Formation energy from raw total energies   1.094 eV per atom
Energy   -3.815 eV/atom
ΔE to the lowest computed polymorph   239 meV/atom

a b c (Å): 5.104 5.104 5.104
angles (deg): 90.00 90.00 90.00
Fractional coordinates of all 8 atoms:
B 0.000 0.000 0.000
B 0.000 0.500 0.500
B 0.500 0.000 0.500
B 0.500 0.500 0.000
Te 0.500 0.500 0.500
Te 0.500 0.000 0.000
Te 0.000 0.500 0.000
Te 0.000 0.000 0.500

***

4.
# BTe

A relaxed BTe crystal (PBE, Alexandria).

Summary:
Calculated volume   21.15 Å³ per atom
Formation energy from raw total energies   1.025 eV per atom
Energy   -3.885 eV/atom
ΔE to the lowest computed polymorph   170 meV/atom

a b c (Å): 6.874 6.874 3.580
angles (deg): 90.00 90.00 90.00
Fractional coordinates of all 8 atoms:
B 0.335 0.665 0.000
B 0.835 0.835 0.500
B 0.165 0.165 0.500
B 0.665 0.335 0.000
Te 0.315 0.315 0.000
Te 0.815 0.185 0.500
Te 0.185 0.815 0.500
Te 0.685 0.685 0.000

***

5.
# BTe

A relaxed BTe crystal (PBE, Alexandria).

Summary:
Calculated volume   19.37 Å³ per atom
Formation energy from raw total energies   0.907 eV per atom
Energy   -4.003 eV/atom
ΔE to the lowest computed polymorph   51 meV/atom

a b c (Å): 5.746 5.757 9.367
angles (deg): 90.00 90.00 90.00
Fractional coordinates of all 16 atoms:
B 0.352 0.593 0.505
B 0.852 0.907 0.495
B 0.648 0.093 0.995
B 0.148 0.407 0.005
B 0.348 0.095 0.274
B 0.848 0.405 0.726
B 0.652 0.595 0.226
B 0.152 0.905 0.774
Te 0.749 0.523 0.497
Te 0.249 0.977 0.503
Te 0.251 0.023 0.003
Te 0.751 0.477 0.997
Te 0.271 0.487 0.252
Te 0.771 0.013 0.748
Te 0.729 0.987 0.248
Te 0.229 0.513 0.752

***

6.
# B4Te

A relaxed B4Te crystal (PBE, Alexandria).

Summary:
Calculated volume   17.28 Å³ per atom
Formation energy from raw total energies   3.082 eV per atom
Energy   -2.888 eV/atom

a b c (Å): 4.421 4.421 4.421
angles (deg): 90.00 90.00 90.00
Fractional coordinates of all 5 atoms:
B 0.000 0.000 0.000
B 0.500 0.000 0.500
B 0.000 0.500 0.500
B 0.500 0.500 0.000
Te 0.500 0.500 0.500

***

7.
# BTe

A relaxed BTe crystal (PBE, Alexandria).

Summary:
Calculated volume   20.29 Å³ per atom
Formation energy from raw total energies   1.082 eV per atom
Energy   -3.827 eV/atom
ΔE to the lowest computed polymorph   227 meV/atom

a b c (Å): 5.455 5.455 5.455
angles (deg): 90.00 90.00 90.00
Fractional coordinates of all 8 atoms:
B 0.250 0.250 0.250
B 0.250 0.750 0.750
B 0.750 0.250 0.750
B 0.750 0.750 0.250
Te 0.000 0.000 0.000
Te 0.000 0.500 0.500
Te 0.500 0.000 0.500
Te 0.500 0.500 0.000

***

8.
# BTe

A relaxed BTe crystal (PBE, Alexandria).

Summary:
Calculated volume   22.84 Å³ per atom
Formation energy from raw total energies   0.923 eV per atom
Energy   -3.986 eV/atom
ΔE to the lowest computed polymorph   68 meV/atom

a b c (Å): 10.164 10.164 3.538
angles (deg): 90.00 90.00 90.00
Fractional coordinates of all 16 atoms:
B 0.334 0.850 0.000
B 0.666 0.150 0.000
B 0.150 0.334 0.000
B 0.850 0.666 0.000
B 0.834 0.350 0.500
B 0.166 0.650 0.500
B 0.650 0.834 0.500
B 0.350 0.166 0.500
Te 0.461 0.242 0.000
Te 0.539 0.758 0.000
Te 0.758 0.461 0.000
Te 0.242 0.539 0.000
Te 0.961 0.742 0.500
Te 0.039 0.258 0.500
Te 0.258 0.961 0.500
Te 0.742 0.039 0.500

***

9.
# BTe

A relaxed BTe crystal (PBE, Alexandria).

Summary:
Calculated volume   21.29 Å³ per atom
Formation energy from raw total energies   0.905 eV per atom
Energy   -4.005 eV/atom
ΔE to the lowest computed polymorph   50 meV/atom

a b c (Å): 7.915 7.915 4.709
angles (deg): 90.00 90.00 120.00
Fractional coordinates of all 12 atoms:
B 0.652 0.036 0.250
B 0.616 0.652 0.750
B 0.964 0.616 0.250
B 0.348 0.964 0.750
B 0.384 0.348 0.250
B 0.036 0.384 0.750
Te 0.945 0.318 0.250
Te 0.627 0.945 0.750
Te 0.682 0.627 0.250
Te 0.055 0.682 0.750
Te 0.373 0.055 0.250
Te 0.318 0.373 0.750

***

10.
# BTe

A relaxed BTe crystal (PBE, Alexandria).

Summary:
Calculated volume   20.24 Å³ per atom
Formation energy from raw total energies   0.906 eV per atom
Energy   -4.004 eV/atom
ΔE to the lowest computed polymorph   51 meV/atom

a b c (Å): 11.312 3.558 6.032
angles (deg): 90.00 90.00 90.00
Fractional coordinates of all 12 atoms:
B 0.790 0.282 0.634
B 0.710 0.718 0.134
B 0.210 0.282 0.634
B 0.290 0.718 0.134
B 0.000 0.875 0.480
B 0.500 0.125 0.980
Te 0.821 0.205 0.262
Te 0.679 0.795 0.762
Te 0.179 0.205 0.262
Te 0.321 0.795 0.762
Te 0.000 0.364 0.730
Te 0.500 0.636 0.230

***

11.
# BTe

A relaxed BTe crystal (PBE, Alexandria).

Summary:
Calculated volume   23.88 Å³ per atom
Formation energy from raw total energies   1.032 eV per atom
Energy   -3.878 eV/atom
ΔE to the lowest computed polymorph   177 meV/atom

a b c (Å): 6.593 6.593 6.593
angles (deg): 90.00 90.00 90.00
Fractional coordinates of all 12 atoms:
B 0.250 0.000 0.500
B 0.750 0.000 0.500
B 0.000 0.500 0.250
B 0.000 0.500 0.750
B 0.500 0.250 0.000
B 0.500 0.750 0.000
Te 0.250 0.500 0.000
Te 0.750 0.500 0.000
Te 0.500 0.000 0.250
Te 0.500 0.000 0.750
Te 0.000 0.250 0.500
Te 0.000 0.750 0.500

***

12.
# BTe

A relaxed BTe crystal (PBE, Alexandria).

Summary:
Calculated volume   19.88 Å³ per atom
Formation energy from raw total energies   0.855 eV per atom
Energy   -4.055 eV/atom
ΔE to the lowest computed polymorph   0 meV/atom

a b c (Å): 3.640 5.034 13.022
angles (deg): 90.00 90.00 90.00
Fractional coordinates of all 12 atoms:
B 0.000 0.983 0.649
B 0.500 0.017 0.851
B 0.500 0.017 0.149
B 0.000 0.983 0.351
B 0.000 0.540 0.000
B 0.500 0.460 0.500
Te 0.000 0.749 0.831
Te 0.500 0.251 0.669
Te 0.500 0.251 0.331
Te 0.000 0.749 0.169
Te 0.000 0.751 0.500
Te 0.500 0.249 0.000

***

13.
# BTe

A relaxed BTe crystal (PBE, Alexandria).

Summary:
Calculated volume   25.12 Å³ per atom
Formation energy from raw total energies   1.159 eV per atom
Energy   -3.751 eV/atom
ΔE to the lowest computed polymorph   304 meV/atom

a b c (Å): 7.380 7.380 7.380
angles (deg): 90.00 90.00 90.00
Fractional coordinates of all 16 atoms:
B 0.151 0.151 0.151
B 0.151 0.849 0.849
B 0.849 0.151 0.849
B 0.849 0.849 0.151
B 0.651 0.651 0.651
B 0.651 0.349 0.349
B 0.349 0.651 0.349
B 0.349 0.349 0.651
Te 0.329 0.329 0.329
Te 0.329 0.671 0.671
Te 0.671 0.329 0.671
Te 0.671 0.671 0.329
Te 0.829 0.829 0.829
Te 0.829 0.171 0.171
Te 0.171 0.829 0.171
Te 0.171 0.171 0.829

***

14.
# ThBTe

A relaxed ThBTe crystal (PBE, Alexandria).

Summary:
Calculated volume   27.93 Å³ per atom
Formation energy from raw total energies   -0.211 eV per atom
Energy   -5.958 eV/atom

a b c (Å): 4.358 4.570 8.986
angles (deg): 104.73 104.03 90.00
Fractional coordinates of all 6 atoms:
Te 0.676 0.176 0.353
Te 0.324 0.824 0.647
B 0.675 0.500 0.000
B 0.325 0.500 0.000
Th 0.121 0.621 0.242
Th 0.879 0.379 0.758

***

15.
# TiBTe3

A relaxed TiBTe3 crystal (PBE, Alexandria).

Summary:
Calculated volume   30.18 Å³ per atom
Formation energy from raw total energies   0.837 eV per atom
Energy   -3.963 eV/atom
ΔE to the lowest computed polymorph   151 meV/atom

a b c (Å): 5.324 5.324 5.324
angles (deg): 90.00 90.00 90.00
Fractional coordinates of all 5 atoms:
B 0.500 0.500 0.500
Te 0.000 0.500 0.000
Te 0.000 0.000 0.500
Te 0.500 0.000 0.000
Ti 0.000 0.000 0.000

***

16.
# TiBTe

A relaxed TiBTe crystal (PBE, Alexandria).

Summary:
Calculated volume   17.29 Å³ per atom
Formation energy from raw total energies   -0.666 eV per atom
Energy   -6.571 eV/atom

a b c (Å): 3.238 3.238 11.579
angles (deg): 81.96 81.96 60.00
Fractional coordinates of all 6 atoms:
Ti 0.544 0.544 0.368
Ti 0.456 0.456 0.632
Te 0.272 0.272 0.184
Te 0.728 0.728 0.816
B 0.835 0.835 0.496
B 0.165 0.165 0.504

***

17.
# TiB2Te

A relaxed TiB2Te crystal (PBE, Alexandria).

Summary:
Calculated volume   13.81 Å³ per atom
Formation energy from raw total energies   1.248 eV per atom
Energy   -4.850 eV/atom
ΔE to the lowest computed polymorph   497 meV/atom

a b c (Å): 4.275 4.275 4.275
angles (deg): 60.00 60.00 60.00
Fractional coordinates of all 4 atoms:
B 0.250 0.250 0.250
B 0.750 0.750 0.750
Te 0.500 0.500 0.500
Ti 0.000 0.000 0.000

***

18.
# Ti2BTe

A relaxed Ti2BTe crystal (PBE, Alexandria).

Summary:
Calculated volume   20.92 Å³ per atom
Formation energy from raw total energies   0.042 eV per atom
Energy   -6.360 eV/atom
ΔE to the lowest computed polymorph   0 meV/atom

a b c (Å): 5.616 5.616 6.627
angles (deg): 64.93 64.93 90.00
Fractional coordinates of all 8 atoms:
B 0.500 0.500 0.000
B 0.250 0.750 0.500
Te 0.000 0.000 0.000
Te 0.750 0.250 0.500
Ti 0.528 0.125 0.250
Ti 0.222 0.625 0.250
Ti 0.375 0.472 0.750
Ti 0.875 0.778 0.750

***

19.
# Ti3BTe

A relaxed Ti3BTe crystal (PBE, Alexandria).

Summary:
Calculated volume   15.45 Å³ per atom
Formation energy from raw total energies   -0.572 eV per atom
Energy   -7.273 eV/atom
ΔE to the lowest computed polymorph   0 meV/atom

a b c (Å): 3.339 7.046 7.170
angles (deg): 113.61 90.00 90.00
Fractional coordinates of all 10 atoms:
Ti 0.195 0.036 0.186
Ti 0.195 0.405 0.692
Ti 0.195 0.729 0.501
Ti 0.695 0.017 0.862
Ti 0.695 0.693 0.053
Ti 0.695 0.385 0.368
B 0.695 0.655 0.712
B 0.195 0.767 0.842
Te 0.695 0.046 0.488
Te 0.195 0.376 0.066

***

20.
# TiBTe2

A relaxed TiBTe2 crystal (PBE, Alexandria).

Summary:
Calculated volume   23.47 Å³ per atom
Formation energy from raw total energies   0.491 eV per atom
Energy   -4.723 eV/atom
ΔE to the lowest computed polymorph   136 meV/atom

a b c (Å): 8.014 8.014 8.014
angles (deg): 27.04 27.04 27.04
Fractional coordinates of all 4 atoms:
B 0.000 0.000 0.000
Te 0.909 0.909 0.909
Te 0.091 0.091 0.091
Ti 0.500 0.500 0.500

***

21.
# Ti3BTe

A relaxed Ti3BTe crystal (PBE, Alexandria).

Summary:
Calculated volume   16.23 Å³ per atom
Formation energy from raw total energies   -0.311 eV per atom
Energy   -7.012 eV/atom
ΔE to the lowest computed polymorph   261 meV/atom

a b c (Å): 4.330 4.330 4.330
angles (deg): 90.00 90.00 90.00
Fractional coordinates of all 5 atoms:
B 0.000 0.000 0.000
Te 0.500 0.500 0.500
Ti 0.000 0.500 0.000
Ti 0.000 0.000 0.500
Ti 0.500 0.000 0.000

***

22.
# TiBTe2

A relaxed TiBTe2 crystal (PBE, Alexandria).

Summary:
Calculated volume   21.51 Å³ per atom
Formation energy from raw total energies   0.762 eV per atom
Energy   -4.452 eV/atom
ΔE to the lowest computed polymorph   407 meV/atom

a b c (Å): 8.541 8.541 8.541
angles (deg): 23.37 23.37 23.37
Fractional coordinates of all 4 atoms:
B 0.500 0.500 0.500
Te 0.892 0.892 0.892
Te 0.108 0.108 0.108
Ti 0.000 0.000 0.000

***

23.
# TiBTe2

A relaxed TiBTe2 crystal (PBE, Alexandria).

Summary:
Calculated volume   24.09 Å³ per atom
Formation energy from raw total energies   0.354 eV per atom
Energy   -4.859 eV/atom
ΔE to the lowest computed polymorph   0 meV/atom

a b c (Å): 6.128 6.128 6.717
angles (deg): 62.86 62.86 90.00
Each line ends with the local moment (μB).
Fractional coordinates of all 8 atoms:
B 0.500 0.500 0.000  0.09
B 0.250 0.750 0.500  0.09
Te 0.565 0.125 0.250  -0.02
Te 0.185 0.625 0.250  -0.02
Te 0.375 0.435 0.750  -0.02
Te 0.875 0.815 0.750  -0.02
Ti 0.000 0.000 0.000  1.55
Ti 0.750 0.250 0.500  1.56

***

24.
# TiBTe2

A relaxed TiBTe2 crystal (PBE, Alexandria).

Summary:
Calculated volume   20.28 Å³ per atom
Formation energy from raw total energies   0.741 eV per atom
Energy   -4.473 eV/atom
ΔE to the lowest computed polymorph   386 meV/atom

a b c (Å): 4.859 4.859 4.859
angles (deg): 60.00 60.00 60.00
Each line ends with the local moment (μB).
Fractional coordinates of all 4 atoms:
B 0.000 0.000 0.000  0.07
Te 0.250 0.250 0.250  -0.04
Te 0.750 0.750 0.750  -0.04
Ti 0.500 0.500 0.500  0.99